1.
This record from the Alexandria database describes KSrSnHg after structural relaxation. The functional is PBE.

a = 8.1595 Å, b = 8.1595 Å, c = 8.1595 Å
α = 90.00°, β = 90.00°, γ = 90.00°
Fractional positions:
K 0.0000 0.0000 0.0000
K 0.0000 0.5000 0.5000
K 0.5000 0.0000 0.5000
K 0.5000 0.5000 0.0000
Sr 0.0000 0.0000 0.5000
Sr 0.0000 0.5000 0.0000
Sr 0.5000 0.0000 0.0000
Sr 0.5000 0.5000 0.5000
Sn 0.2500 0.2500 0.2500
Sn 0.2500 0.7500 0.7500
Sn 0.7500 0.2500 0.7500
Sn 0.7500 0.7500 0.2500
Hg 0.2500 0.2500 0.7500
Hg 0.2500 0.7500 0.2500
Hg 0.7500 0.2500 0.2500
Hg 0.7500 0.7500 0.7500

Raw total energy = -2.09 eV per atom
ΔH_f (0 K) = -0.32 eV per atom
M_tot = 0.0 μB/cell

2.
This record from the Alexandria database describes Tc2RuRh after structural relaxation. The functional is PBE.

a = 5.4312 Å, b = 7.7381 Å, c = 2.7141 Å
α = 90.00°, β = 90.00°, γ = 90.00°
Fractional positions:
Tc 0.2500 0.2500 0.0000
Tc 0.2500 0.7500 0.0000
Tc 0.7500 0.2500 0.0000
Tc 0.7500 0.7500 0.0000
Ru 0.0000 0.0000 0.5000
Ru 0.5000 0.5000 0.5000
Rh 0.0000 0.5000 0.5000
Rh 0.5000 0.0000 0.5000

Relative energy among the computed polymorphs = 0.47 eV per formula unit
Raw total energy = -9.35 eV per atom
ΔH_f (0 K) = -0.02 eV per atom
M_tot = 0.0 μB/cell

3.
This record from the Alexandria database describes Sm2ScC2 after structural relaxation. The functional is PBE.

a = 6.3401 Å, b = 6.3401 Å, c = 7.1975 Å
α = 111.20°, β = 111.20°, γ = 49.14°
Fractional positions:
Sm 0.0147 0.0147 0.2445
Sm 0.3304 0.3304 0.9156
Sm 0.6696 0.6696 0.0844
Sm 0.9853 0.9853 0.7555
Sc 0.3540 0.3540 0.3967
Sc 0.6460 0.6460 0.6033
C 0.1740 0.1740 0.1047
C 0.4969 0.4969 0.7284
C 0.5031 0.5031 0.2716
C 0.8260 0.8260 0.8953

Raw total energy = -7.00 eV per atom
ΔH_f (0 K) = -0.15 eV per atom
M_tot = 1.5 μB/cell

4.
This record from the Alexandria database describes Ga2ReGe after structural relaxation. The functional is PBE.

a = 4.5347 Å, b = 4.5347 Å, c = 11.0091 Å
α = 90.00°, β = 90.00°, γ = 120.00°
Fractional positions:
Ga 0.0000 0.0000 0.2501
Ga 0.0000 0.0000 0.7499
Ga 0.3333 0.6667 0.4165
Ga 0.3333 0.6667 0.9168
Ga 0.6667 0.3333 0.0832
Ga 0.6667 0.3333 0.5835
Re 0.0000 0.0000 0.0000
Re 0.3333 0.6667 0.6667
Re 0.6667 0.3333 0.3333
Ge 0.0000 0.0000 0.5000
Ge 0.3333 0.6667 0.1667
Ge 0.6667 0.3333 0.8333

Raw total energy = -5.19 eV per atom
ΔH_f (0 K) = 0.59 eV per atom
M_tot = 0.0 μB/cell